Record 1
# La2EuIn

A relaxed La2EuIn crystal (PBE, Alexandria via LeMat-Bulk). Values from VASP.

```
&SYSTEM
  ibrav = 0, nat = 4, ntyp = 3
/
ATOMIC_SPECIES
Eu 151.96 Eu.upf
In 114.82 In.upf
La 138.91 La.upf
CELL_PARAMETERS angstrom
5.723 0.000 0.000
2.861 4.956 0.000
2.861 1.652 4.673
ATOMIC_POSITIONS angstrom
Eu 0.000 0.000 0.000
In 5.723 3.304 2.336
La 8.584 4.956 3.505
La 2.861 1.652 1.168
```

polymorph energy (0 for the lowest one)	0.052	eV per atom
space group	Fm-3m, No. 225
energy of formation	-0.8	eV per formula unit
density of states at the Fermi level	5.2	states/eV/cell


Record 2
# LaEuIn4

A relaxed LaEuIn4 crystal (PBE, Alexandria via LeMat-Bulk). Values from VASP.

```
&SYSTEM
  ibrav = 0, nat = 6, ntyp = 3
/
ATOMIC_SPECIES
In 114.82 In.upf
Eu 151.96 Eu.upf
La 138.91 La.upf
CELL_PARAMETERS angstrom
6.165 0.000 0.000
3.083 5.339 0.000
3.083 1.780 5.034
ATOMIC_POSITIONS angstrom
In 4.626 4.448 3.145
In 6.165 1.782 3.145
In 7.705 4.448 3.145
In 6.165 3.560 0.631
Eu 0.000 0.000 0.000
La 3.083 1.780 1.258
```

space group	F-43m, No. 216
energy of formation	-2.7	eV per formula unit
density of states at the Fermi level	8.2	states/eV/cell


Record 3
# LaEuIn2

A relaxed LaEuIn2 crystal (PBE, Alexandria via LeMat-Bulk). Values from VASP.

```
&SYSTEM
  ibrav = 0, nat = 4, ntyp = 3
/
ATOMIC_SPECIES
In 114.82 In.upf
La 138.91 La.upf
Eu 151.96 Eu.upf
CELL_PARAMETERS angstrom
3.822 0.000 0.000
1.911 3.310 0.000
1.911 1.103 10.366
ATOMIC_POSITIONS angstrom
In 1.911 1.103 2.577
In 5.733 3.310 7.789
La 3.822 2.207 5.183
Eu 0.000 0.000 0.000
```

polymorph energy (0 for the lowest one)	0.205	eV per atom
space group	R-3m, No. 166
energy of formation	-1.1	eV per formula unit
density of states at the Fermi level	10.1	states/eV/cell


Record 4
# LaEuIn2

A relaxed LaEuIn2 crystal (PBE, Alexandria via LeMat-Bulk). Values from VASP.

```
&SYSTEM
  ibrav = 0, nat = 4, ntyp = 3
/
ATOMIC_SPECIES
La 138.91 La.upf
Eu 151.96 Eu.upf
In 114.82 In.upf
CELL_PARAMETERS angstrom
3.943 0.000 0.000
0.000 3.943 0.000
0.000 0.000 7.945
ATOMIC_POSITIONS angstrom
La 1.972 1.972 3.972
Eu 1.972 1.972 0.000
In 0.000 0.000 5.973
In 0.000 0.000 1.972
```

polymorph energy (0 for the lowest one)	0.000	eV per atom
space group	P4/mmm, No. 123
energy of formation	-1.9	eV per formula unit
density of states at the Fermi level	9.9	states/eV/cell


Record 5
# La2EuIn

A relaxed La2EuIn crystal (PBE, Alexandria via LeMat-Bulk). Values from VASP.

```
&SYSTEM
  ibrav = 0, nat = 4, ntyp = 3
/
ATOMIC_SPECIES
In 114.82 In.upf
La 138.91 La.upf
Eu 151.96 Eu.upf
CELL_PARAMETERS angstrom
-0.041 4.144 0.757
-0.996 -0.745 4.025
7.464 -0.254 1.800
ATOMIC_POSITIONS angstrom
In 3.213 1.573 3.291
La 2.099 -0.071 0.506
La 5.365 -0.183 1.294
Eu -0.519 1.700 2.391
```

polymorph energy (0 for the lowest one)	0.050	eV per atom
space group	P4/mmm, No. 123
energy of formation	-0.8	eV per formula unit
density of states at the Fermi level	4.9	states/eV/cell


Record 6
# LaEuMgIn

A relaxed LaEuMgIn crystal (PBE, Alexandria via LeMat-Bulk). Values from VASP.

```
&SYSTEM
  ibrav = 0, nat = 4, ntyp = 4
/
ATOMIC_SPECIES
La 138.91 La.upf
Mg 24.30 Mg.upf
In 114.82 In.upf
Eu 151.96 Eu.upf
CELL_PARAMETERS angstrom
5.595 0.000 0.000
2.797 4.845 0.000
2.797 1.615 4.568
ATOMIC_POSITIONS angstrom
La 5.595 3.230 2.284
Mg 2.797 1.615 1.142
In 8.392 4.845 3.426
Eu 0.000 0.000 0.000
```

space group	F-43m, No. 216
energy of formation	-1.3	eV per formula unit
density of states at the Fermi level	9.8	states/eV/cell


> Which formula does entry 1 have?

La2EuIn


Please write out number 4 again, unchanged.
# LaEuIn2

A relaxed LaEuIn2 crystal (PBE, Alexandria via LeMat-Bulk). Values from VASP.

```
&SYSTEM
  ibrav = 0, nat = 4, ntyp = 3
/
ATOMIC_SPECIES
La 138.91 La.upf
Eu 151.96 Eu.upf
In 114.82 In.upf
CELL_PARAMETERS angstrom
3.943 0.000 0.000
0.000 3.943 0.000
0.000 0.000 7.945
ATOMIC_POSITIONS angstrom
La 1.972 1.972 3.972
Eu 1.972 1.972 0.000
In 0.000 0.000 5.973
In 0.000 0.000 1.972
```

polymorph energy (0 for the lowest one)	0.000	eV per atom
space group	P4/mmm, No. 123
energy of formation	-1.9	eV per formula unit
density of states at the Fermi level	9.9	states/eV/cell